# 1
A plane-wave DFT calculation with GGA-PBE was carried out for Ce2ThInC after structural relaxation.

Mass density   8.37 Mg/m³
DFT total energy   -6.57 eV per atom
Space group   P4/mmm

Lattice parameters (Å, degrees): 5.073 4.998 4.998 90.00 90.00 90.00
Site moments in Bohr magnetons follow the coordinates.
Fractional coordinates of all 5 atoms:
Ce 0.000 0.000 0.500  0.51
Th 0.500 0.000 0.000  0.06
Ce 0.000 0.500 0.000  0.51
In 0.500 0.500 0.500  -0.01
C 0.000 0.000 0.000  -0.03

---

# 2
A plane-wave DFT calculation with GGA-PBE was carried out for LaPd4Pt after structural relaxation.

Mass density   11.49 Mg/m³
DFT total energy   -5.76 eV per atom
Space group   F-43m

Lattice parameters (Å, degrees): 5.375 5.375 5.375 60.00 60.00 60.00
Fractional coordinates of all 6 atoms:
Pd 0.624 0.624 0.128
Pd 0.128 0.624 0.624
La 0.000 0.000 0.000
Pd 0.624 0.128 0.624
Pd 0.624 0.624 0.624
Pt 0.250 0.250 0.250

---

# 3
A plane-wave DFT calculation with GGA-PBE was carried out for Tb5Dy2YMg after structural relaxation.

Mass density   7.16 Mg/m³
DFT total energy   -4.39 eV per atom
Space group   Cmc2_1

Lattice parameters (Å, degrees): 5.418 10.314 10.598 90.00 90.00 105.23
Fractional coordinates of all 18 atoms:
Tb 0.985 0.970 0.508
Dy 0.886 0.771 0.220
Tb 0.500 0.001 0.258
Dy 0.886 0.772 0.797
Mg 0.595 0.190 0.007
Tb 0.290 0.581 0.306
Y 0.206 0.411 0.008
Dy 0.114 0.229 0.720
Dy 0.114 0.228 0.297
Y 0.794 0.589 0.508
Tb 0.291 0.582 0.710
Tb 0.710 0.419 0.806
Tb 0.383 0.767 0.008
Mg 0.405 0.810 0.507
Tb 0.617 0.233 0.508
Tb 0.015 0.030 0.008
Tb 0.500 0.999 0.758
Tb 0.709 0.418 0.210

---

We obtain E_form values of -0.322, -0.475, 0.101 eV/atom for the records listed above, in that order.